No. 1
Here is crystalline CsLiSm at its relaxed geometry from the Open Quantum Materials Database. Energies are from PBE.

```
data_CsLiSm
_symmetry_space_group_name_H-M 'F -4 3 m'
_symmetry_Int_Tables_number 216
_symmetry_space_group_name_Hall 'F -4 2 3'
_cell_length_a 7.6007
_cell_length_b 7.6007
_cell_length_c 7.6007
_cell_angle_alpha 90.00
_cell_angle_beta 90.00
_cell_angle_gamma 90.00
loop_
_atom_site_label
_atom_site_type_symbol
_atom_site_fract_x
_atom_site_fract_y
_atom_site_fract_z
Cs1 Cs 0.0000 0.0000 0.0000
Li1 Li 0.2500 0.2500 0.2500
Sm1 Sm 0.2500 0.2500 0.7500
```

Results
The value obtained for the energy relative to the lowest polymorph listed for this composition is 271.4 meV per atom. The final energy is -1.374 eV per atom.

***

No. 2
Here is crystalline CsLiSm at its relaxed geometry from the Open Quantum Materials Database. Energies are from PBE.

```
data_CsLiSm
_symmetry_space_group_name_H-M 'F -4 3 m'
_symmetry_Int_Tables_number 216
_symmetry_space_group_name_Hall 'F -4 2 3'
_cell_length_a 8.2030
_cell_length_b 8.2030
_cell_length_c 8.2030
_cell_angle_alpha 90.00
_cell_angle_beta 90.00
_cell_angle_gamma 90.00
loop_
_atom_site_label
_atom_site_type_symbol
_atom_site_fract_x
_atom_site_fract_y
_atom_site_fract_z
Cs1 Cs 0.0000 0.0000 0.0000
Li1 Li 0.2500 0.2500 0.2500
Sm1 Sm 0.0000 0.0000 0.5000
```

Results
The value obtained for the energy relative to the lowest polymorph listed for this composition is 0.0 meV per atom. The final energy is -1.645 eV per atom.

***

No. 3
Here is crystalline CsLiTb at its relaxed geometry from the Open Quantum Materials Database. Energies are from PBE.

```
data_CsLiTb
_symmetry_space_group_name_H-M 'F -4 3 m'
_symmetry_Int_Tables_number 216
_symmetry_space_group_name_Hall 'F -4 2 3'
_cell_length_a 8.2016
_cell_length_b 8.2016
_cell_length_c 8.2016
_cell_angle_alpha 90.00
_cell_angle_beta 90.00
_cell_angle_gamma 90.00
loop_
_atom_site_label
_atom_site_type_symbol
_atom_site_fract_x
_atom_site_fract_y
_atom_site_fract_z
Cs1 Cs 0.0000 0.0000 0.0000
Li1 Li 0.2500 0.2500 0.2500
Tb1 Tb 0.0000 0.0000 0.5000
```

Results
The value obtained for the energy relative to the lowest polymorph listed for this composition is 0.0 meV per atom. The final energy is -1.590 eV per atom.

***

No. 4
Here is crystalline CsLiTb at its relaxed geometry from the Open Quantum Materials Database. Energies are from PBE.

```
data_CsLiTb
_symmetry_space_group_name_H-M 'F -4 3 m'
_symmetry_Int_Tables_number 216
_symmetry_space_group_name_Hall 'F -4 2 3'
_cell_length_a 8.2148
_cell_length_b 8.2148
_cell_length_c 8.2148
_cell_angle_alpha 90.00
_cell_angle_beta 90.00
_cell_angle_gamma 90.00
loop_
_atom_site_label
_atom_site_type_symbol
_atom_site_fract_x
_atom_site_fract_y
_atom_site_fract_z
Cs1 Cs 0.0000 0.0000 0.0000
Li1 Li 0.2500 0.2500 0.7500
Tb1 Tb 0.2500 0.2500 0.2500
```

Results
The value obtained for the energy relative to the lowest polymorph listed for this composition is 295.0 meV per atom. The final energy is -1.295 eV per atom.

***

No. 5
Here is crystalline CsLiTc at its relaxed geometry from the Open Quantum Materials Database. Energies are from PBE.

```
data_CsLiTc
_symmetry_space_group_name_H-M 'F -4 3 m'
_symmetry_Int_Tables_number 216
_symmetry_space_group_name_Hall 'F -4 2 3'
_cell_length_a 7.4334
_cell_length_b 7.4334
_cell_length_c 7.4334
_cell_angle_alpha 90.00
_cell_angle_beta 90.00
_cell_angle_gamma 90.00
loop_
_atom_site_label
_atom_site_type_symbol
_atom_site_fract_x
_atom_site_fract_y
_atom_site_fract_z
Cs1 Cs 0.0000 0.0000 0.0000
Li1 Li 0.2500 0.2500 0.2500
Tc1 Tc 0.0000 0.0000 0.5000
```

Results
The value obtained for the energy relative to the lowest polymorph listed for this composition is 0.0 meV per atom. The final energy is -2.713 eV per atom.

***

No. 6
Here is crystalline CsLiTc at its relaxed geometry from the Open Quantum Materials Database. Energies are from PBE.

```
data_CsLiTc
_symmetry_space_group_name_H-M 'F -4 3 m'
_symmetry_Int_Tables_number 216
_symmetry_space_group_name_Hall 'F -4 2 3'
_cell_length_a 7.2395
_cell_length_b 7.2395
_cell_length_c 7.2395
_cell_angle_alpha 90.00
_cell_angle_beta 90.00
_cell_angle_gamma 90.00
loop_
_atom_site_label
_atom_site_type_symbol
_atom_site_fract_x
_atom_site_fract_y
_atom_site_fract_z
Cs1 Cs 0.0000 0.0000 0.0000
Li1 Li 0.2500 0.2500 0.7500
Tc1 Tc 0.2500 0.2500 0.2500
```

Results
The value obtained for the energy relative to the lowest polymorph listed for this composition is 259.5 meV per atom. The final energy is -2.453 eV per atom.